5
Lattice="4.421 0.000 0.000 0.000 4.421 0.000 0.000 0.000 4.440" Properties=species:S:1:pos:R:3 comment="PBE-GGA Zr2TiHPb, relaxed" spacegroup="P4/mmm (123)" crystal_system=tetragonal dft_energy_ev_per_atom=-6.66 pbc="T T T"
Zr 0.000 2.211 0.000
Zr 2.211 0.000 0.000
Ti 0.000 0.000 2.220
H 0.000 0.000 0.000
Pb 2.211 2.211 2.220